VASP calculation (GGA+U) on a relaxed MgFeP4O12 crystal.

abc: 7.340 7.340 10.159
angles: 66.56 66.56 69.90
Each line ends with the local moment (μB).
Sites, in units of the cell vectors:
O: 0.192 0.353 0.842  0.02
O: 0.728 0.873 0.323  0.02
O: 0.811 0.279 0.085  0.01
O: 0.217 0.503 0.562  0.00
P: 0.706 0.685 0.307  0.01
Fe: 0.000 0.500 0.000  3.79
Mg: 0.047 0.953 0.750  0.00
P: 0.253 0.731 0.477  0.00
P: 0.315 0.294 0.193  0.01
O: 0.647 0.808 0.658  0.02
O: 0.127 0.272 0.177  0.02
O: 0.353 0.192 0.342  0.02
O: 0.308 0.531 0.150  0.00
P: 0.747 0.269 0.523  0.00
O: 0.497 0.783 0.938  0.00
O: 0.189 0.721 0.915  0.01
O: 0.093 0.848 0.403  0.00
P: 0.294 0.315 0.693  0.01
O: 0.272 0.127 0.677  0.02
O: 0.783 0.497 0.438  0.00
O: 0.848 0.093 0.903  0.00
O: 0.692 0.469 0.850  0.00
Fe: 0.500 0.000 0.500  3.79
O: 0.503 0.217 0.062  0.00
O: 0.808 0.647 0.158  0.02
Mg: 0.953 0.047 0.250  0.00
P: 0.731 0.253 0.977  0.00
O: 0.531 0.308 0.650  0.00
P: 0.269 0.747 0.023  0.00
O: 0.279 0.811 0.585  0.01
P: 0.685 0.706 0.807  0.01
O: 0.469 0.692 0.350  0.00
O: 0.721 0.189 0.415  0.01
O: 0.873 0.728 0.823  0.02
O: 0.907 0.152 0.597  0.00
O: 0.152 0.907 0.097  0.00

Values from the calculation:
E_tot = -0.2622 Ha/atom